No. 1
Material: Na3Tl3Pb2
Method: DFT, PBE-GGA
State: optimized geometry

Output
- Calculated total energy: -2.4116 eV/atom
- Total moment: 0.00 Bohr magnetons per cell
- E_form: -0.10 eV per atom
- D(E_F): 3.756 states/eV/f.u.
- Density: 7.80 g cm⁻³

abc: 20.634 4.755 4.893
angles: 90.00 103.59 90.00
Sites, in units of the cell vectors:
Na (0.000, 0.000, 0.000)
Na (0.126, 0.000, 0.628)
Na (0.374, 0.500, 0.372)
Na (0.500, 0.500, 0.000)
Na (0.626, 0.500, 0.628)
Na (0.874, 0.000, 0.372)
Tl (0.000, 0.500, 0.500)
Tl (0.125, 0.500, 0.127)
Tl (0.375, 0.000, 0.873)
Tl (0.500, 0.000, 0.500)
Tl (0.625, 0.000, 0.127)
Tl (0.875, 0.500, 0.873)
Pb (0.247, 0.000, 0.247)
Pb (0.253, 0.500, 0.753)
Pb (0.747, 0.500, 0.247)
Pb (0.753, 0.000, 0.753)

---

No. 2
Material: Na4Tl4Pb
Method: DFT, PBE-GGA
State: optimized geometry

Output
- Calculated total energy: -2.0310 eV/atom
- Energy relative to the lowest polymorph listed for this composition: 132 meV/atom
- Total moment: 0.00 Bohr magnetons per cell
- E_form: 0.02 eV per atom
- D(E_F): 2.055 states/eV/f.u.
- Density: 6.24 g cm⁻³

abc: 7.302 7.302 7.302
angles: 112.56 112.56 103.46
Sites, in units of the cell vectors:
Na (0.002, 0.501, 0.000)
Na (0.499, 0.499, 0.501)
Na (0.501, 0.002, 0.000)
Na (0.998, 0.998, 0.499)
Tl (0.000, 0.500, 0.500)
Tl (0.155, 0.155, 0.000)
Tl (0.500, 0.000, 0.500)
Tl (0.845, 0.845, 0.000)
Pb (0.500, 0.500, 0.000)

---

No. 3
Material: Na3TlPb4
Method: DFT, PBE-GGA
State: optimized geometry

Output
- Calculated total energy: -2.7181 eV/atom
- Total moment: 0.00 Bohr magnetons per cell
- E_form: -0.07 eV per atom
- D(E_F): 4.189 states/eV/f.u.
- Density: 7.47 g cm⁻³

abc: 24.170 5.473 3.749
angles: 90.00 98.86 90.00
Sites, in units of the cell vectors:
Na (0.000, 0.000, 0.000)
Na (0.138, 0.000, 0.638)
Na (0.362, 0.500, 0.362)
Na (0.500, 0.500, 0.000)
Na (0.638, 0.500, 0.638)
Na (0.862, 0.000, 0.362)
Tl (0.000, 0.500, 0.500)
Tl (0.500, 0.000, 0.500)
Pb (0.112, 0.500, 0.112)
Pb (0.231, 0.500, 0.732)
Pb (0.269, 0.000, 0.268)
Pb (0.388, 0.000, 0.888)
Pb (0.612, 0.000, 0.112)
Pb (0.731, 0.000, 0.732)
Pb (0.769, 0.500, 0.268)
Pb (0.888, 0.500, 0.888)

---

No. 4
Material: Na2Tl2Pb
Method: DFT, PBE-GGA
State: optimized geometry

Output
- Calculated total energy: -2.3148 eV/atom
- Energy relative to the lowest polymorph listed for this composition: 10 meV/atom
- Total moment: 0.00 Bohr magnetons per cell
- E_form: -0.10 eV per atom
- D(E_F): 2.898 states/eV/f.u.
- Density: 7.53 g cm⁻³

abc: 5.216 3.418 8.594
angles: 90.00 107.59 90.00
Sites, in units of the cell vectors:
Na (0.105, 0.000, 0.210)
Na (0.895, 0.000, 0.790)
Tl (0.301, 0.500, 0.604)
Tl (0.699, 0.500, 0.396)
Pb (0.500, 0.500, 0.000)

---

No. 5
Material: NaTl3Pb
Method: DFT, PBE-GGA
State: optimized geometry

Output
- Calculated total energy: -2.4197 eV/atom
- Energy relative to the lowest polymorph listed for this composition: 68 meV/atom
- Total moment: 0.00 Bohr magnetons per cell
- E_form: 0.01 eV per atom
- D(E_F): 1.343 states/eV/f.u.
- Density: 8.98 g cm⁻³

abc: 8.706 8.706 8.706
angles: 46.05 46.05 46.05
Sites, in units of the cell vectors:
Na (0.165, 0.165, 0.165)
Na (0.835, 0.835, 0.835)
Tl (0.115, 0.604, 0.117)
Tl (0.117, 0.115, 0.604)
Tl (0.396, 0.883, 0.885)
Tl (0.604, 0.117, 0.115)
Tl (0.883, 0.885, 0.396)
Tl (0.885, 0.396, 0.883)
Pb (0.425, 0.425, 0.425)
Pb (0.575, 0.575, 0.575)

---

No. 6
Material: Na5Tl2Pb
Method: DFT, PBE-GGA
State: optimized geometry

Output
- Calculated total energy: -1.9697 eV/atom
- Energy relative to the lowest polymorph listed for this composition: 0 meV/atom
- Total moment: 0.00 Bohr magnetons per cell
- E_form: -0.09 eV per atom
- D(E_F): 4.932 states/eV/f.u.
- Density: 5.21 g cm⁻³

abc: 8.066 8.066 7.156
angles: 90.00 90.00 90.00
Sites, in units of the cell vectors:
Na (0.000, 0.000, 0.000)
Na (0.250, 0.250, 0.250)
Na (0.250, 0.250, 0.750)
Na (0.250, 0.750, 0.250)
Na (0.250, 0.750, 0.750)
Na (0.500, 0.500, 0.500)
Na (0.750, 0.250, 0.250)
Na (0.750, 0.250, 0.750)
Na (0.750, 0.750, 0.250)
Na (0.750, 0.750, 0.750)
Tl (0.000, 0.500, 0.000)
Tl (0.000, 0.500, 0.500)
Tl (0.500, 0.000, 0.000)
Tl (0.500, 0.000, 0.500)
Pb (0.000, 0.000, 0.500)
Pb (0.500, 0.500, 0.000)

---

What is the total moment in the fifth record?
0.00 Bohr magnetons per cell

---

Among the records above, which one has the lowest D(E_F)?
NaTl3Pb

---

The highest E_form belongs to which entry?
Na4Tl4Pb